# 1
ZnCd2Ir | PBE | optimized geometry

a b c (Å): 5.6706 7.9304 3.1060
angles (deg): 90.00 90.00 90.00
Last column: nearest neighbours and their distance in Å.
Space group Cmmm (No. 65)
Inequivalent atoms, fractional coordinates:
Zn: 0.0000 0.0000 0.0000 (multiplicity 2)  2 Ir 2.84, 8 Cd 2.89, 2 Zn 3.11
Cd: 0.2500 0.2500 0.5000 (multiplicity 4)  4 Cd 2.84-3.11, 4 Ir 2.89, 4 Zn 2.89
Ir: 0.0000 0.5000 0.0000 (multiplicity 2)  2 Zn 2.84, 8 Cd 2.89, 2 Ir 3.11

Results
Total magnetization in μB per formula unit: 0.0
Formation enthalpy at 0 K in eV per atom: 0.091

***

# 2
NaSr2Ga3Ge4 | PBE | optimized geometry

a b c (Å): 4.6546 4.6546 10.7519
angles (deg): 90.00 90.00 90.00
Last column: nearest neighbours and their distance in Å.
Space group P-4m2 (No. 115)
Inequivalent atoms, fractional coordinates:
Na: 0.0000 0.0000 0.0000 (multiplicity 1)  4 Ge 2.80
Sr: 0.0000 0.5000 0.7394 (multiplicity 2)  8 Ge 3.47-3.52, 7 Ga 3.53-3.88, 2 Na 3.64
Ga: 0.0000 0.5000 0.3782 (multiplicity 2)  5 Ge 2.51-2.67
Ga: 0.5000 0.5000 0.0000 (multiplicity 1)  4 Ge 2.80
Ge: 0.0000 0.0000 0.5000 (multiplicity 1)  4 Ga 2.67
Ge: 0.0000 0.5000 0.1447 (multiplicity 2)  3 Ga 2.51-2.80, 2 Na 2.80
Ge: 0.5000 0.5000 0.5000 (multiplicity 1)  4 Ga 2.67

Results
Total magnetization in μB per formula unit: 0.0
Formation enthalpy at 0 K in eV per atom: -0.297

***

# 3
Sr2CuAs4Pt3 | PBE | optimized geometry

a b c (Å): 4.4578 4.4578 10.2204
angles (deg): 90.00 90.00 90.00
Last column: nearest neighbours and their distance in Å.
Space group P-4m2 (No. 115)
Inequivalent atoms, fractional coordinates:
Sr: 0.0000 0.5000 0.2461 (multiplicity 2)  2 Cu 3.36, 6 Pt 3.36-3.43, 8 As 3.37-3.42
Cu: 0.5000 0.5000 0.0000 (multiplicity 1)  4 As 2.60
As: 0.0000 0.0000 0.5000 (multiplicity 1)  4 Pt 2.56
As: 0.0000 0.5000 0.8694 (multiplicity 2)  3 Pt 2.52-2.60, 2 Cu 2.60
As: 0.5000 0.5000 0.5000 (multiplicity 1)  4 Pt 2.56
Pt: 0.0000 0.0000 0.0000 (multiplicity 1)  4 As 2.60
Pt: 0.0000 0.5000 0.6224 (multiplicity 2)  5 As 2.52-2.56

Results
Total magnetization in μB per formula unit: 0.0
Formation enthalpy at 0 K in eV per atom: -0.736

***

# 4
InAs4W | PBE | optimized geometry

a b c (Å): 7.7898 7.7898 7.7898
angles (deg): 90.00 90.00 90.00
Last column: nearest neighbours and their distance in Å.
Space group F-43m (No. 216)
Inequivalent atoms, fractional coordinates:
In: 0.0000 0.0000 0.0000 (multiplicity 4)  12 As 3.23, 4 W 3.37
As: 0.1230 0.1230 0.3770 (multiplicity 16)  6 As 2.71-2.80
W: 0.2500 0.2500 0.7500 (multiplicity 4)  12 As 3.22, 4 In 3.37

Results
Total magnetization in μB per formula unit: 0.0
Formation enthalpy at 0 K in eV per atom: 0.899

***

# 5
ZnTe2Ir | PBE | optimized geometry

a b c (Å): 5.0408 5.0408 3.2028
angles (deg): 90.00 90.00 90.00
Last column: nearest neighbours and their distance in Å.
Space group P4/mmm (No. 123)
Inequivalent atoms, fractional coordinates:
Zn: 0.0000 0.0000 0.0000 (multiplicity 1)  8 Te 2.99, 2 Zn 3.20
Te: 0.0000 0.5000 0.5000 (multiplicity 2)  4 Ir 2.99, 4 Zn 2.99, 2 Te 3.20
Ir: 0.5000 0.5000 0.0000 (multiplicity 1)  8 Te 2.99, 2 Ir 3.20

Results
Total magnetization in μB per formula unit: 0.0
Calculated total energy in eV/cell: -14.80

***

# 6
Rb2NaHg3 | PBE | optimized geometry

a b c (Å): 5.0858 5.1049 19.2023
angles (deg): 90.00 90.00 90.00
Last column: nearest neighbours and their distance in Å.
Space group Imm2 (No. 44)
Inequivalent atoms, fractional coordinates:
Rb: 0.0000 0.0000 0.0000 (multiplicity 2)  6 Hg 3.81-3.89, 4 Na 4.06
Rb: 0.0000 0.5000 0.2738 (multiplicity 2)  10 Hg 3.87-4.01, 2 Na 4.23
Na: 0.0000 0.0000 0.5976 (multiplicity 2)  3 Hg 3.09-3.12
Hg: 0.0000 0.0000 0.4348 (multiplicity 2)  2 Hg 3.05, 1 Na 3.12
Hg: 0.0000 0.5000 0.6884 (multiplicity 2)  1 Hg 3.04, 2 Na 3.09
Hg: 0.0000 0.5000 0.8469 (multiplicity 2)  3 Hg 3.04-3.05

Results
Total magnetization in μB per formula unit: 0.0
Formation enthalpy at 0 K in eV per atom: -0.192

***

# 7
P2RuRh2 | PBE | optimized geometry

a b c (Å): 6.5492 6.5492 3.1256
angles (deg): 90.00 90.00 90.00
Last column: nearest neighbours and their distance in Å.
Space group P4/mbm (No. 127)
Inequivalent atoms, fractional coordinates:
P: 0.1544 0.3456 0.0000 (multiplicity 4)  6 Rh 2.42-2.51, 2 Ru 2.48
Ru: 0.0000 0.0000 0.0000 (multiplicity 2)  4 P 2.48
Rh: 0.1455 0.6455 0.5000 (multiplicity 4)  6 P 2.42-2.51, 1 Rh 2.70

Results
Total magnetization in μB per formula unit: 0.0
Formation enthalpy at 0 K in eV per atom: -0.262

***

# 8
BaS2O6 | PBE | optimized geometry

a b c (Å): 12.0123 8.6388 7.1093
angles (deg): 90.00 123.18 90.00
Last column: nearest neighbours and their distance in Å.
Space group C2/c (No. 15)
Inequivalent atoms, fractional coordinates:
Ba: 0.0000 0.1776 0.2500 (multiplicity 4)  8 O 2.78-2.88
S: 0.2115 0.4482 0.1632 (multiplicity 8)  3 O 1.48-1.51
O: 0.1400 0.0708 0.6967 (multiplicity 8)  1 S 1.50
O: 0.1396 0.2999 0.0758 (multiplicity 8)  1 S 1.48
O: 0.1734 0.4360 0.4781 (multiplicity 8)  1 S 1.51

Results
Total magnetization in μB per formula unit: 0.0
Calculated total energy in eV/cell: -218.01